(1)
U2HS: relaxed, GGA-PBE.

Cell: 3.655 3.655 18.221 Å, 90.00 90.00 120.00°
Fractional positions:
U (0.000, 0.000, 0.239)
U (0.000, 0.000, 0.761)
U (0.333, 0.667, 0.428)
U (0.333, 0.667, 0.905)
U (0.667, 0.333, 0.095)
U (0.667, 0.333, 0.572)
H (0.000, 0.000, 0.500)
H (0.333, 0.667, 0.167)
H (0.667, 0.333, 0.833)
S (0.000, 0.000, 0.000)
S (0.333, 0.667, 0.667)
S (0.667, 0.333, 0.333)

Output
**Electronic total energy**: -8.024 eV/atom
**Calculated density**: 12.0 g/cm3
**N(E_F)**: 2.361 states/eV per atom

(2)
Tl2CdTePt: relaxed, GGA-PBE.

Cell: 5.327 5.327 5.326 Å, 90.00 90.00 90.00°
Fractional positions:
Tl (0.000, 0.500, 0.000)
Tl (0.500, 0.000, 0.000)
Cd (0.000, 0.000, 0.500)
Te (0.500, 0.500, 0.500)
Pt (0.000, 0.000, 0.000)

Output
**Electronic total energy**: -3.077 eV/atom
**Calculated density**: 9.3 g/cm3
**N(E_F)**: 0.302 states/eV per atom
**Uncorrected formation energy**: -10.7 kJ/mol of atoms

(3)
Rb3Na5F12: relaxed, GGA-PBE.

Cell: 12.634 12.634 12.634 Å, 109.47 109.47 109.47°
Fractional positions:
Rb (0.125, 0.250, 0.375)
Rb (0.125, 0.375, 0.750)
Rb (0.250, 0.375, 0.125)
Rb (0.250, 0.875, 0.625)
Rb (0.375, 0.125, 0.250)
Rb (0.375, 0.750, 0.125)
Rb (0.625, 0.250, 0.875)
Rb (0.625, 0.875, 0.750)
Rb (0.750, 0.125, 0.375)
Rb (0.750, 0.625, 0.875)
Rb (0.875, 0.625, 0.250)
Rb (0.875, 0.750, 0.625)
Na (0.000, 0.000, 0.000)
Na (0.000, 0.000, 0.500)
Na (0.000, 0.500, 0.000)
Na (0.000, 0.500, 0.500)
Na (0.125, 0.750, 0.875)
Na (0.125, 0.875, 0.250)
Na (0.250, 0.125, 0.875)
Na (0.250, 0.625, 0.375)
Na (0.375, 0.250, 0.625)
Na (0.375, 0.625, 0.750)
Na (0.500, 0.000, 0.000)
Na (0.500, 0.000, 0.500)
Na (0.500, 0.500, 0.000)
Na (0.500, 0.500, 0.500)
Na (0.625, 0.375, 0.250)
Na (0.625, 0.750, 0.375)
Na (0.750, 0.375, 0.625)
Na (0.750, 0.875, 0.125)
Na (0.875, 0.125, 0.750)
Na (0.875, 0.250, 0.125)
F (0.025, 0.204, 0.108)
F (0.025, 0.321, 0.917)
F (0.083, 0.608, 0.404)
F (0.083, 0.975, 0.679)
F (0.096, 0.704, 0.679)
F (0.096, 0.892, 0.417)
F (0.108, 0.025, 0.204)
F (0.108, 0.583, 0.904)
F (0.179, 0.204, 0.596)
F (0.179, 0.475, 0.583)
F (0.204, 0.108, 0.025)
F (0.204, 0.596, 0.179)
F (0.296, 0.321, 0.904)
F (0.296, 0.475, 0.392)
F (0.321, 0.904, 0.296)
F (0.321, 0.917, 0.025)
F (0.392, 0.296, 0.475)
F (0.392, 0.596, 0.917)
F (0.404, 0.083, 0.608)
F (0.404, 0.821, 0.796)
F (0.417, 0.096, 0.892)
F (0.417, 0.821, 0.525)
F (0.475, 0.392, 0.296)
F (0.475, 0.583, 0.179)
F (0.525, 0.417, 0.821)
F (0.525, 0.608, 0.704)
F (0.583, 0.179, 0.475)
F (0.583, 0.904, 0.108)
F (0.596, 0.179, 0.204)
F (0.596, 0.917, 0.392)
F (0.608, 0.404, 0.083)
F (0.608, 0.704, 0.525)
F (0.679, 0.083, 0.975)
F (0.679, 0.096, 0.704)
F (0.704, 0.525, 0.608)
F (0.704, 0.679, 0.096)
F (0.796, 0.404, 0.821)
F (0.796, 0.892, 0.975)
F (0.821, 0.525, 0.417)
F (0.821, 0.796, 0.404)
F (0.892, 0.417, 0.096)
F (0.892, 0.975, 0.796)
F (0.904, 0.108, 0.583)
F (0.904, 0.296, 0.321)
F (0.917, 0.025, 0.321)
F (0.917, 0.392, 0.596)
F (0.975, 0.679, 0.083)
F (0.975, 0.796, 0.892)

Output
**Electronic total energy**: -3.675 eV/atom
**Calculated density**: 2.6 g/cm3
**N(E_F)**: 2.082 states/eV per atom
**Uncorrected formation energy**: -200.4 kJ/mol of atoms

(4)
Sm2Ag4Te5: relaxed, GGA-PBE.

Cell: 19.258 19.258 19.258 Å, 13.43 13.43 13.43°
Fractional positions:
Sm (0.135, 0.135, 0.135)
Sm (0.865, 0.865, 0.865)
Ag (0.315, 0.315, 0.315)
Ag (0.415, 0.415, 0.415)
Ag (0.585, 0.585, 0.585)
Ag (0.685, 0.685, 0.685)
Te (0.230, 0.230, 0.230)
Te (0.367, 0.367, 0.367)
Te (0.500, 0.500, 0.500)
Te (0.633, 0.633, 0.633)
Te (0.770, 0.770, 0.770)

Output
**Electronic total energy**: -3.883 eV/atom
**Calculated density**: 6.8 g/cm3
**N(E_F)**: 0.519 states/eV per atom
**Uncorrected formation energy**: -54.1 kJ/mol of atoms

(5)
LiPdI: relaxed, GGA-PBE.

Cell: 6.800 7.008 5.733 Å, 90.00 92.63 90.00°
Fractional positions:
Li (0.000, 0.221, 0.000)
Li (0.000, 0.779, 0.500)
Li (0.500, 0.279, 0.500)
Li (0.500, 0.721, 0.000)
Pd (0.243, 0.496, 0.723)
Pd (0.243, 0.504, 0.223)
Pd (0.743, 0.004, 0.223)
Pd (0.743, 0.996, 0.723)
I (0.425, 0.212, 0.005)
I (0.425, 0.788, 0.505)
I (0.925, 0.288, 0.505)
I (0.925, 0.712, 0.005)

Output
**Energy relative to the lowest polymorph listed for this composition**: 0.051 eV per atom
**Electronic total energy**: -3.392 eV/atom
**Calculated density**: 5.8 g/cm3
**N(E_F)**: 0.006 states/eV per atom
**Uncorrected formation energy**: -48.9 kJ/mol of atoms

(6)
ZnCrOs2: relaxed, GGA-PBE.

Cell: 2.706 2.706 26.216 Å, 90.00 90.00 120.00°
Fractional positions:
Zn (0.000, 0.000, 0.000)
Zn (0.333, 0.667, 0.667)
Zn (0.667, 0.333, 0.333)
Cr (0.000, 0.000, 0.250)
Cr (0.333, 0.667, 0.917)
Cr (0.667, 0.333, 0.583)
Os (0.000, 0.000, 0.504)
Os (0.000, 0.000, 0.753)
Os (0.333, 0.667, 0.171)
Os (0.333, 0.667, 0.420)
Os (0.667, 0.333, 0.086)
Os (0.667, 0.333, 0.838)

Output
**E_form**: 0.217 eV/atom
**Electronic total energy**: -8.122 eV/atom
**Calculated density**: 14.9 g/cm3
**N(E_F)**: 1.231 states/eV per atom

(7)
LaCu2SiPd2: relaxed, GGA-PBE.

Cell: 4.415 4.415 5.802 Å, 90.00 90.00 90.00°
Fractional positions:
La (0.000, 0.000, 0.000)
Cu (0.000, 0.500, 0.500)
Cu (0.500, 0.000, 0.500)
Si (0.000, 0.000, 0.500)
Pd (0.500, 0.500, 0.238)
Pd (0.500, 0.500, 0.762)

Output
**Electronic total energy**: -5.031 eV/atom
**Calculated density**: 7.4 g/cm3
**N(E_F)**: 0.556 states/eV per atom
**Uncorrected formation energy**: -20.2 kJ/mol of atoms

(8)
SrPm2Ag6: relaxed, GGA-PBE.

Cell: 8.355 8.355 3.662 Å, 90.00 90.00 120.00°
Fractional positions:
Sr (0.000, 0.000, 0.000)
Pm (0.333, 0.667, 0.000)
Pm (0.667, 0.333, 0.000)
Ag (0.000, 0.336, 0.500)
Ag (0.000, 0.664, 0.500)
Ag (0.336, 0.000, 0.500)
Ag (0.336, 0.336, 0.500)
Ag (0.664, 0.000, 0.500)
Ag (0.664, 0.664, 0.500)

Output
**E_form**: -0.250 eV/atom
**Electronic total energy**: -3.393 eV/atom
**Calculated density**: 7.7 g/cm3
**N(E_F)**: 0.598 states/eV per atom